#A
Density functional theory data (GGA-PBE) for crystalline Sr3TaZn at its relaxed geometry.

Calculated values
N(E_F) in states/eV per cell: 7.60
Size of the total moment in μB/f.u.: 4.0

Structure (POSCAR):
```
Sr3TaZn
1.0
-1.1440 -5.7683 0.6207
5.2916 -1.2968 -2.2988
2.3786 0.1107 5.4127
Ta Sr Zn
1 3 1
direct
0.5000 0.5000 0.5000
0.5000 0.0000 0.0000
0.0000 0.5000 0.0000
0.0000 0.0000 0.5000
0.0000 0.0000 0.0000
```

#B
Density functional theory data (GGA-PBE) for crystalline Sr3TaZn at its relaxed geometry.

Calculated values
N(E_F) in states/eV per cell: 5.09
Size of the total moment in μB/f.u.: 0.0

Structure (POSCAR):
```
Sr3TaZn
1.0
-2.4310 2.5915 4.7726
4.6047 -1.7886 3.3167
2.8792 5.0485 -1.2748
Zn Sr Ta
1 3 1
direct
0.5000 0.5000 0.5000
0.0000 0.0000 0.5000
0.0000 0.5000 0.0000
0.5000 0.0000 0.0000
0.0000 0.0000 0.0000
```

Bottom line: #A, by a margin of 72 meV/atom.

#A
Density functional theory data (GGA-PBE) for crystalline SrTa3Zn at its relaxed geometry.

Calculated values
N(E_F) in states/eV per cell: 5.97
Size of the total moment in μB/f.u.: 0.0

Structure (POSCAR):
```
SrTa3Zn
1.0
4.8792 0.0000 0.0000
0.0000 4.8792 0.0000
0.0000 0.0000 4.8792
Ta Zn Sr
3 1 1
direct
0.0000 0.5000 0.0000
0.0000 0.0000 0.5000
0.5000 0.0000 0.0000
0.5000 0.5000 0.5000
0.0000 0.0000 0.0000
```

#B
Density functional theory data (GGA-PBE) for crystalline SrTa3Zn at its relaxed geometry.

Calculated values
N(E_F) in states/eV per cell: 7.39
Size of the total moment in μB/f.u.: 0.0

Structure (POSCAR):
```
SrTa3Zn
1.0
4.9184 0.0000 0.0000
0.0000 4.9184 0.0000
0.0000 0.0000 4.9184
Sr Ta Zn
1 3 1
direct
0.5000 0.5000 0.5000
0.5000 0.0000 0.0000
0.0000 0.0000 0.5000
0.0000 0.5000 0.0000
0.0000 0.0000 0.0000
```

Bottom line: #B, by a margin of 1507 meV/atom.

#A
Density functional theory data (GGA-PBE) for crystalline SrTaZn3 at its relaxed geometry.

Calculated values
N(E_F) in states/eV per cell: 6.11
Size of the total moment in μB/f.u.: 1.2

Structure (POSCAR):
```
SrTaZn3
1.0
5.0831 0.0000 0.0000
0.0000 5.0831 0.0000
0.0000 0.0000 5.0831
Ta Zn Sr
1 3 1
direct
0.0000 0.0000 0.0000
0.0000 0.0000 0.5000
0.5000 0.0000 0.0000
0.0000 0.5000 0.0000
0.5000 0.5000 0.5000
```

#B
Density functional theory data (GGA-PBE) for crystalline SrTaZn3 at its relaxed geometry.

Calculated values
N(E_F) in states/eV per cell: 5.15
Size of the total moment in μB/f.u.: 0.0

Structure (POSCAR):
```
SrTaZn3
1.0
-4.3069 1.2048 -2.4907
-1.6183 -4.8347 0.4597
-2.2442 1.1742 4.4486
Sr Zn Ta
1 3 1
direct
0.0000 0.0000 0.0000
0.0000 0.0000 0.5000
0.5000 0.0000 0.0000
0.0000 0.5000 0.0000
0.5000 0.5000 0.5000
```

Bottom line: #A, by a margin of 1401 meV/atom.

#A
Density functional theory data (GGA-PBE) for crystalline SrZr2Ta at its relaxed geometry.

Calculated values
N(E_F) in states/eV per cell: 4.71
Size of the total moment in μB/f.u.: 0.0

Structure (POSCAR):
```
SrZr2Ta
1.0
3.1478 0.3203 0.0000
-0.3220 3.1476 0.0000
0.0000 0.0000 10.3206
Ta Zr Sr
1 2 1
direct
0.5000 0.5000 0.7895
0.0000 0.0000 0.9913
0.5000 0.5000 0.2053
0.0000 0.0000 0.5139
```

#B
Density functional theory data (GGA-PBE) for crystalline SrZr2Ta at its relaxed geometry.

Calculated values
N(E_F) in states/eV per cell: 6.11
Size of the total moment in μB/f.u.: 0.0

Structure (POSCAR):
```
SrZr2Ta
1.0
5.6219 0.0006 0.0000
1.8025 5.3251 0.0000
-3.7122 -2.6628 3.2763
Zr Ta Sr
2 1 1
direct
0.0000 0.0000 0.0000
0.2500 0.7500 0.5000
0.7500 0.2500 0.5000
0.5000 0.5000 0.0000
```

#C
Density functional theory data (GGA-PBE) for crystalline SrZr2Ta at its relaxed geometry.

Calculated values
N(E_F) in states/eV per cell: 9.72
Size of the total moment in μB/f.u.: 0.0

Structure (POSCAR):
```
SrZr2Ta
1.0
-2.3653 -2.9977 2.3664
3.7811 -1.4462 1.9474
-0.5362 4.7594 9.7571
Zr Sr Ta
4 2 2
direct
0.3750 0.3454 0.7500
0.8750 0.9046 0.7500
0.6546 0.1250 0.2500
0.0954 0.6250 0.2500
0.2500 0.7500 0.5000
0.5000 0.5000 0.0000
0.0000 0.0000 0.0000
0.7500 0.2500 0.5000
```

Bottom line: #A, by a margin of 248 meV/atom.

#A
Density functional theory data (GGA-PBE) for crystalline SrZr2Ta at its relaxed geometry.

Calculated values
N(E_F) in states/eV per cell: 5.57
Size of the total moment in μB/f.u.: 0.0

Structure (POSCAR):
```
SrZr2Ta
1.0
5.7444 -0.0225 0.0000
-1.9755 5.3941 0.0000
0.0000 0.0000 3.1362
Zr Ta Sr
2 1 1
direct
0.5000 0.5000 0.0000
0.0000 0.0000 0.0000
0.0000 0.5000 0.5000
0.5000 0.0000 0.5000
```

#B
Density functional theory data (GGA-PBE) for crystalline SrZr2Ta at its relaxed geometry.

Calculated values
N(E_F) in states/eV per cell: 4.76
Size of the total moment in μB/f.u.: 0.1

Structure (POSCAR):
```
SrZr2Ta
1.0
-2.3051 -4.6099 0.5824
2.8573 -4.3257 0.1668
0.5022 -2.6062 4.4564
Ta Sr Zr
1 1 2
direct
0.7500 0.7500 0.7500
0.5000 0.5000 0.5000
0.0000 0.0000 0.0000
0.2500 0.2500 0.2500
```

Bottom line: #A, by a margin of 102 meV/atom.

#A
Density functional theory data (GGA-PBE) for crystalline SrZr2Ta at its relaxed geometry.

Calculated values
N(E_F) in states/eV per cell: 5.48
Size of the total moment in μB/f.u.: 0.0

Structure (POSCAR):
```
SrZr2Ta
1.0
-4.2165 -1.5933 -6.2022
-1.8029 -6.3875 -3.8386
0.3998 4.3328 6.3128
Ta Zr Sr
1 2 1
direct
0.2368 0.7368 0.5000
0.7267 0.2267 0.5000
0.0881 0.0881 0.0000
0.4484 0.4484 0.0000
```

#B
Density functional theory data (GGA-PBE) for crystalline SrZr2Ta at its relaxed geometry.

Calculated values
N(E_F) in states/eV per cell: 3.69
Size of the total moment in μB/f.u.: 0.0

Structure (POSCAR):
```
SrZr2Ta
1.0
3.4165 0.0000 0.0000
0.0000 3.3968 0.4122
0.0000 2.2602 9.7420
Zr Sr Ta
2 1 1
direct
0.0000 0.4246 0.5747
0.0000 0.0754 0.9253
0.5000 0.2500 0.2500
0.5000 0.7500 0.7500
```

Bottom line: #B, by a margin of 349 meV/atom.

#A
Density functional theory data (GGA-PBE) for crystalline SrZr2Ta at its relaxed geometry.

Calculated values
N(E_F) in states/eV per cell: 4.22
Size of the total moment in μB/f.u.: 0.0

Structure (POSCAR):
```
SrZr2Ta
1.0
-3.1451 -2.9544 -2.9039
-4.0374 -3.2779 0.0856
-4.5954 4.8949 -0.8419
Sr Ta Zr
1 1 2
direct
0.7500 0.7500 0.7500
0.2500 0.2500 0.2500
0.9852 0.9852 0.0609
0.5148 0.5148 0.4391
```

#B
Density functional theory data (GGA-PBE) for crystalline SrZr2Ta at its relaxed geometry.

Calculated values
N(E_F) in states/eV per cell: 6.25
Size of the total moment in μB/f.u.: 0.0

Structure (POSCAR):
```
SrZr2Ta
1.0
-5.3835 -3.3813 1.4048
-0.5790 -2.4879 5.9886
0.3914 5.0140 -4.1347
Ta Sr Zr
1 1 2
direct
0.2500 0.7500 0.5000
0.7500 0.2500 0.5000
0.0343 0.0343 0.0000
0.4657 0.4657 0.0000
```

Bottom line: #A, by a margin of 114 meV/atom.

#A
Density functional theory data (GGA-PBE) for crystalline SrZr2Ta at its relaxed geometry.

Calculated values
N(E_F) in states/eV per cell: 4.05
Size of the total moment in μB/f.u.: 0.0

Structure (POSCAR):
```
SrZr2Ta
1.0
5.3921 0.0030 -0.0019
4.4825 2.9970 -0.0019
0.4513 0.1371 6.6028
Zr Ta Sr
2 1 1
direct
0.7379 0.7379 0.8149
0.9982 0.9982 0.0130
0.2617 0.2617 0.1802
0.5022 0.5022 0.4919
```

#B
Density functional theory data (GGA-PBE) for crystalline SrZr2Ta at its relaxed geometry.

Calculated values
N(E_F) in states/eV per cell: 3.67
Size of the total moment in μB/f.u.: 0.0

Structure (POSCAR):
```
SrZr2Ta
1.0
11.2359 0.0122 0.0071
10.7612 3.2314 0.0071
10.7612 1.5868 2.8150
Sr Zr Ta
1 2 1
direct
0.2500 0.2500 0.2500
0.4878 0.4878 0.4878
0.0122 0.0122 0.0122
0.7500 0.7500 0.7500
```

Bottom line: #B, by a margin of 22 meV/atom.